DFT (PBE) results for a relaxed structure of Mn2GaSe2.

Computed properties:
For the total magnetization, the calculation gives 14.7 μB per cell. The total energy is -5.798 eV/atom. The calculation puts the energy above the most stable polymorph in this dataset at 55.7 meV per atom.

Geometry as CIF:
```
data_Mn2GaSe2
_cell_length_a 6.061
_cell_length_b 5.702
_cell_length_c 6.181
_cell_angle_alpha 90.00
_cell_angle_beta 108.69
_cell_angle_gamma 90.00
_space_group_name_H-M_alt 'C 1 m 1'
_space_group_IT_number 8
loop_
_space_group_symop_operation_xyz
'x,y,z'
'x,-y,z'
'x+1/2,y+1/2,z'
'x+1/2,-y+1/2,z'
loop_
_atom_site_label
_atom_site_fract_x
_atom_site_fract_y
_atom_site_fract_z
Mn1 0.000 0.245 0.000
Ga1 0.076 0.500 0.694
Se1 0.346 0.000 0.251
Se2 0.483 0.500 0.658
```